1.
# BaScTeI2

BaScTeI2 after structural relaxation (GGA-PBEsol, Alexandria via LeMat-Bulk).

The structure belongs to space group P4/mmm (No. 123); the cell edges are 5.594, 5.594 and 5.668 Å and the angles 90.00°, 90.00° and 90.00°. The distinct sites, in fractional coordinates, are Ba at (0.000, 0.000, 0.000), Sc at (0.500, 0.500, 0.500), Te at (0.500, 0.500, 0.000) and I at (0.000, 0.500, 0.500).

As for the electronic total energy: -4.380 eV per atom. The formation energy (no corrections) is -1217.7 meV per atom.

2.
# GaINO2

GaINO2 after structural relaxation (GGA-PBEsol, Alexandria via LeMat-Bulk).

The structure belongs to space group P4/mmm (No. 123); the cell edges are 3.792, 3.792 and 4.056 Å and the angles 90.00°, 90.00° and 90.00°. The distinct sites, in fractional coordinates, are Ga at (0.000, 0.000, 0.000), I at (0.500, 0.500, 0.500), N at (0.000, 0.000, 0.500) and O at (0.000, 0.500, 0.000).

As for the electronic total energy: -4.661 eV per atom. The formation energy (no corrections) is 165.6 meV per atom.

3.
# GaRhO2F

GaRhO2F after structural relaxation (GGA-PBEsol, Alexandria via LeMat-Bulk).

The structure belongs to space group P4/mmm (No. 123); the cell edges are 3.824, 3.824 and 3.774 Å and the angles 90.00°, 90.00° and 90.00°. The distinct sites, in fractional coordinates, are Ga at (0.000, 0.000, 0.000), Rh at (0.500, 0.500, 0.500), O at (0.000, 0.500, 0.000) and F at (0.000, 0.000, 0.500).

As for the electronic total energy: -5.449 eV per atom. The formation energy (no corrections) is -668.4 meV per atom.

4.
# RbLaPd3

RbLaPd3 after structural relaxation (GGA-PBEsol, Alexandria via LeMat-Bulk).

The structure belongs to space group Pm-3m (No. 221); the cell edges are 5.062, 5.062 and 5.062 Å and the angles 90.00°, 90.00° and 90.00°. The distinct sites, in fractional coordinates, are Rb at (0.000, 0.000, 0.000), La at (0.500, 0.500, 0.500) and Pd at (0.000, 0.000, 0.500).

As for the electronic total energy: -3.918 eV per atom. The formation enthalpy at 0 K comes out at 4.66 eV/f.u.

5.
# PSN2

PSN2 after structural relaxation (GGA-PBEsol, Alexandria via LeMat-Bulk).

The structure belongs to space group R-3m (No. 166, hexagonal axes); the cell edges are 2.8504, 2.8504 and 17.7368 Å and the angles 90.00°, 90.00° and 120.00°. The distinct sites, in fractional coordinates, are P at (0.0000, 0.0000, 0.0000), S at (0.0000, 0.0000, 0.5000) and N at (0.0000, 0.0000, 0.1055).

As for the electronic total energy: -5.798 eV per atom. The formation energy (no corrections) is 1009.4 meV per atom.

6.
# HfZrSc2I

HfZrSc2I after structural relaxation (GGA-PBEsol, Alexandria via LeMat-Bulk).

The structure belongs to space group P4/mmm (No. 123); the cell edges are 5.072, 5.072 and 5.279 Å and the angles 90.00°, 90.00° and 90.00°. The distinct sites, in fractional coordinates, are Hf at (0.000, 0.000, 0.000), Zr at (0.500, 0.500, 0.500), Sc at (0.000, 0.500, 0.500) and I at (0.500, 0.500, 0.000).

As for the electronic total energy: -5.900 eV per atom. The formation energy (no corrections) is 1014.1 meV per atom.

7.
# Cs2UTa6Cl15O3

Cs2UTa6Cl15O3 after structural relaxation (GGA-PBEsol, Alexandria via LeMat-Bulk).

The structure belongs to space group P-31c (No. 163); the cell edges are 9.0454, 9.0454 and 17.2749 Å and the angles 90.00°, 90.00° and 120.00°. The distinct sites, in fractional coordinates, are Cs at (0.3333, 0.6667, 0.0453), U at (0.3333, 0.6667, 0.7500), Ta at (0.0135, 0.1928, 0.8162), Cl at (0.0154, 0.2206, 0.0877), Cl at (0.0772, 0.4751, 0.8812), Cl at (0.2140, 0.4280, 0.2500) and O at (0.1893, 0.3785, 0.7500).

As for the electronic total energy: -6.705 eV per atom. The formation energy (no corrections) is -1697.5 meV per atom.

8.
# YNi2P2

YNi2P2 after structural relaxation (GGA-PBEsol, Alexandria via LeMat-Bulk).

The structure belongs to space group I4/mmm (No. 139); the cell edges are 3.826, 3.826 and 9.295 Å and the angles 90.00°, 90.00° and 90.00°. The distinct sites, in fractional coordinates, are Y at (0.000, 0.000, 0.000), Ni at (0.000, 0.500, 0.250) and P at (0.000, 0.000, 0.377).

As for the electronic total energy: -7.255 eV per atom. The formation enthalpy at 0 K comes out at -5.55 eV/f.u.

9.
# Ce2SnS5

Ce2SnS5 after structural relaxation (GGA-PBEsol, Alexandria via LeMat-Bulk).

The structure belongs to space group Pbam (No. 55); the cell edges are 7.531, 11.118 and 3.961 Å and the angles 90.00°, 90.00° and 90.00°. The distinct sites, in fractional coordinates, are Ce at (0.058, 0.170, 0.000), Sn at (0.000, 0.500, 0.500), S at (0.000, 0.000, 0.500), S at (0.161, 0.705, 0.500) and S at (0.189, 0.417, 0.000).

As for the electronic total energy: -6.389 eV per atom. The formation energy (no corrections) is -1467.1 meV per atom.

10.
# CoRh

CoRh after structural relaxation (GGA-PBEsol, Alexandria via LeMat-Bulk).

The structure belongs to space group Pnma (No. 62); the cell edges are 4.494, 4.155 and 5.157 Å and the angles 90.00°, 90.00° and 90.00°. The distinct sites, in fractional coordinates, are Co at (0.078, 0.250, 0.125) and Rh at (0.090, 0.250, 0.626).

As for the electronic total energy: -7.874 eV per atom. The formation enthalpy at 0 K comes out at 0.13 eV/f.u.